Material: PaFe2CuO8
Method: DFT, PBE with a Hubbard U
State: relaxed

Values from the calculation:
* volume: 12.78 Å³/atom
* M_tot: 6.0 μB/f.u.
* electronic total energy: -6.761 eV/atom
* Fermi-level density of states: 12.455 states/eV/cell

a = 6.796 Å, b = 6.796 Å, c = 6.643 Å
α = 90.00°, β = 90.00°, γ = 90.00°
Space group I-4m2 (No. 119)
Unique sites:
1 Pa 0.000 0.000 0.000 [2 per cell]
2 Fe 0.000 0.000 0.500 [2 per cell]
3 Fe 0.000 0.500 0.750 [2 per cell]
4 Cu 0.000 0.500 0.250 [2 per cell]
5 O 0.000 0.194 0.310 [8 per cell]
6 O 0.000 0.306 0.937 [8 per cell]